[1]
# RbPmDy | the Open Quantum Materials Database | PBE | optimized geometry
data_RbPmDy
_chemical_formula_sum 'Rb4 Pm4 Dy4'
_cell_length_a 8.486
_cell_length_b 8.486
_cell_length_c 8.486
_cell_angle_alpha 90.00
_cell_angle_beta 90.00
_cell_angle_gamma 90.00
_space_group_name_H-M_alt 'F -4 3 m'
_space_group_IT_number 216
_space_group_name_Hall 'F -4 2 3'
loop_
_atom_site_label
_atom_site_type_symbol
_atom_site_fract_x
_atom_site_fract_y
_atom_site_fract_z
_atom_site_occupancy
Rb1 Rb 0.000 0.000 0.000 1
Pm1 Pm 0.000 0.000 0.500 1
Dy1 Dy 0.250 0.250 0.750 1
# Total energy (Ry per atom): -0.16343

=====

[2]
# Hg2AsPd | the Open Quantum Materials Database | PBE | optimized geometry
data_Hg2AsPd
_chemical_formula_sum 'Hg8 As4 Pd4'
_cell_length_a 6.847
_cell_length_b 6.847
_cell_length_c 6.847
_cell_angle_alpha 90.00
_cell_angle_beta 90.00
_cell_angle_gamma 90.00
_space_group_name_H-M_alt 'F -4 3 m'
_space_group_IT_number 216
_space_group_name_Hall 'F -4 2 3'
loop_
_atom_site_label
_atom_site_type_symbol
_atom_site_fract_x
_atom_site_fract_y
_atom_site_fract_z
_atom_site_occupancy
Hg1 Hg 0.000 0.000 0.000 1
Hg2 Hg 0.250 0.250 0.250 1
As1 As 0.000 0.000 0.500 1
Pd1 Pd 0.250 0.250 0.750 1
# Total energy (Ry per atom): -0.17611

=====

[3]
# NaLuCdSe3 | the Open Quantum Materials Database | PBE | optimized geometry
data_NaLuCdSe3
_chemical_formula_sum 'Na4 Lu4 Cd4 Se12'
_cell_length_a 17.433
_cell_length_b 4.054
_cell_length_c 9.103
_cell_angle_alpha 90.00
_cell_angle_beta 105.20
_cell_angle_gamma 90.00
_space_group_name_H-M_alt 'C 1 2/m 1'
_space_group_IT_number 12
_space_group_name_Hall '-C 2y'
loop_
_atom_site_label
_atom_site_type_symbol
_atom_site_fract_x
_atom_site_fract_y
_atom_site_fract_z
_atom_site_occupancy
Na1 Na 0.134 0.000 0.071 1
Lu1 Lu 0.177 0.000 0.595 1
Cd1 Cd 0.015 0.500 0.722 1
Se1 Se 0.000 0.000 0.500 1
Se2 Se 0.000 0.500 0.000 1
Se3 Se 0.162 0.500 0.371 1
Se4 Se 0.177 0.500 0.806 1
# Energy relative to the lowest polymorph listed for this composition (meV/atom): 27.2
# Total energy (Ry per atom): -0.29912

=====

[4]
# KNaTcIr | the Open Quantum Materials Database | PBE | optimized geometry
data_KNaTcIr
_chemical_formula_sum 'K4 Na4 Tc4 Ir4'
_cell_length_a 6.841
_cell_length_b 6.841
_cell_length_c 6.841
_cell_angle_alpha 90.00
_cell_angle_beta 90.00
_cell_angle_gamma 90.00
_space_group_name_H-M_alt 'F -4 3 m'
_space_group_IT_number 216
_space_group_name_Hall 'F -4 2 3'
loop_
_atom_site_label
_atom_site_type_symbol
_atom_site_fract_x
_atom_site_fract_y
_atom_site_fract_z
_atom_site_occupancy
K1 K 0.000 0.000 0.000 1
Na1 Na 0.250 0.250 0.250 1
Tc1 Tc 0.000 0.000 0.500 1
Ir1 Ir 0.250 0.250 0.750 1
# Energy relative to the lowest polymorph listed for this composition (meV/atom): 78.8
# Total energy (Ry per atom): -0.31067